one:
Crystalline AgHg6 at its relaxed geometry, computed with PBE-GGA.

* SG: Im-3m

a b c (Å): 7.219 7.219 7.219
angles (deg): 109.47 109.47 109.47
Fractional coordinates of all 7 atoms:
Ag1 0.000 0.000 0.000
Hg1 0.250 0.500 0.750
Hg2 0.250 0.750 0.500
Hg3 0.500 0.250 0.750
Hg4 0.500 0.750 0.250
Hg5 0.750 0.250 0.500
Hg6 0.750 0.500 0.250

two:
Crystalline AgHg6 at its relaxed geometry, computed with PBE-GGA.

* SG: Cmcm

a b c (Å): 6.211 6.211 9.277
angles (deg): 90.00 90.00 88.12
Fractional coordinates of all 14 atoms:
Ag1 0.038 0.962 0.750
Ag2 0.962 0.038 0.250
Hg1 0.090 0.550 0.250
Hg2 0.198 0.198 0.000
Hg3 0.198 0.198 0.500
Hg4 0.331 0.669 0.572
Hg5 0.331 0.669 0.928
Hg6 0.450 0.910 0.250
Hg7 0.550 0.090 0.750
Hg8 0.669 0.331 0.072
Hg9 0.669 0.331 0.428
Hg10 0.802 0.802 0.000
Hg11 0.802 0.802 0.500
Hg12 0.910 0.450 0.750

Energy comparison, zero being the most stable, in eV/atom: one 0.323; two 0.000.

one:
Crystalline Ag6Hg at its relaxed geometry, computed with PBE-GGA.

* SG: P4/mmm

a b c (Å): 4.483 4.483 7.024
angles (deg): 90.00 90.00 90.00
Fractional coordinates of all 7 atoms:
Ag1 0.000 0.000 0.000
Ag2 0.000 0.500 0.230
Ag3 0.000 0.500 0.770
Ag4 0.500 0.000 0.230
Ag5 0.500 0.000 0.770
Ag6 0.500 0.500 0.500
Hg1 0.000 0.000 0.500

two:
Crystalline Ag6Hg at its relaxed geometry, computed with PBE-GGA.

* SG: Im-3m

a b c (Å): 6.560 6.560 6.560
angles (deg): 109.47 109.47 109.47
Fractional coordinates of all 7 atoms:
Ag1 0.250 0.500 0.750
Ag2 0.250 0.750 0.500
Ag3 0.500 0.250 0.750
Ag4 0.500 0.750 0.250
Ag5 0.750 0.250 0.500
Ag6 0.750 0.500 0.250
Hg1 0.000 0.000 0.000

Energy comparison, zero being the most stable, in eV/atom: one 0.000; two 0.490.

one:
Crystalline Ho8Ag2Hg at its relaxed geometry, computed with PBE-GGA.

* SG: C2/m

a b c (Å): 9.251 9.251 7.009
angles (deg): 106.58 106.58 32.40
Fractional coordinates of all 11 atoms:
Ho1 0.029 0.029 0.271
Ho2 0.197 0.197 0.816
Ho3 0.330 0.330 0.525
Ho4 0.407 0.407 0.036
Ho5 0.593 0.593 0.964
Ho6 0.670 0.670 0.475
Ho7 0.803 0.803 0.184
Ho8 0.971 0.971 0.729
Ag1 0.184 0.184 0.215
Ag2 0.816 0.816 0.785
Hg1 0.500 0.500 0.500

two:
Crystalline Ho8Ag2Hg at its relaxed geometry, computed with PBE-GGA.

* SG: C2/m

a b c (Å): 8.375 8.375 8.332
angles (deg): 118.91 118.91 36.67
Fractional coordinates of all 11 atoms:
Ho1 0.068 0.068 0.220
Ho2 0.140 0.140 0.693
Ho3 0.317 0.317 0.541
Ho4 0.402 0.402 0.042
Ho5 0.598 0.598 0.958
Ho6 0.683 0.683 0.459
Ho7 0.860 0.860 0.307
Ho8 0.932 0.932 0.780
Ag1 0.223 0.223 0.116
Ag2 0.777 0.777 0.884
Hg1 0.500 0.500 0.500

Energy comparison, zero being the most stable, in eV/atom: one 0.000; two 0.006.

one:
Crystalline Ho4Ag2Hg at its relaxed geometry, computed with PBE-GGA.

* SG: R-3m

a b c (Å): 8.730 8.730 8.730
angles (deg): 34.08 34.08 34.08
Fractional coordinates of all 7 atoms:
Ho1 0.120 0.120 0.120
Ho2 0.372 0.372 0.372
Ho3 0.628 0.628 0.628
Ho4 0.880 0.880 0.880
Ag1 0.249 0.249 0.249
Ag2 0.751 0.751 0.751
Hg1 0.500 0.500 0.500

two:
Crystalline Ho4Ag2Hg at its relaxed geometry, computed with PBE-GGA.

* SG: R-3m

a b c (Å): 9.946 9.946 9.946
angles (deg): 28.53 28.53 28.53
Fractional coordinates of all 7 atoms:
Ho1 0.121 0.121 0.121
Ho2 0.296 0.296 0.296
Ho3 0.704 0.704 0.704
Ho4 0.879 0.879 0.879
Ag1 0.400 0.400 0.400
Ag2 0.600 0.600 0.600
Hg1 0.500 0.500 0.500

Energy comparison, zero being the most stable, in eV/atom: one 0.000; two 0.150.

one:
Crystalline Ho3AgHg at its relaxed geometry, computed with PBE-GGA.

* SG: Cmcm

a b c (Å): 10.114 10.114 5.163
angles (deg): 90.00 90.00 150.43
Fractional coordinates of all 10 atoms:
Ho1 0.063 0.937 0.750
Ho2 0.250 0.750 0.750
Ho3 0.437 0.563 0.750
Ho4 0.563 0.437 0.250
Ho5 0.750 0.250 0.250
Ho6 0.937 0.063 0.250
Ag1 0.158 0.842 0.250
Ag2 0.842 0.158 0.750
Hg1 0.345 0.655 0.250
Hg2 0.655 0.345 0.750

two:
Crystalline Ho3AgHg at its relaxed geometry, computed with PBE-GGA.

* SG: Pm

a b c (Å): 8.343 3.613 9.555
angles (deg): 90.00 109.32 90.00
Fractional coordinates of all 10 atoms:
Ho1 0.000 0.000 0.000
Ho2 0.011 0.000 0.380
Ho3 0.189 0.500 0.773
Ho4 0.447 0.000 0.084
Ho5 0.564 0.000 0.772
Ho6 0.621 0.500 0.424
Ag1 0.234 0.500 0.221
Ag2 0.325 0.500 0.531
Hg1 0.762 0.500 0.121
Hg2 0.868 0.000 0.654

Energy comparison, zero being the most stable, in eV/atom: one 0.000; two 0.095.

one:
Crystalline Ho6AgHg at its relaxed geometry, computed with PBE-GGA.

* SG: I4/mmm

a b c (Å): 9.498 9.498 9.498
angles (deg): 149.22 149.22 44.09
Fractional coordinates of all 8 atoms:
Ho1 0.110 0.610 0.500
Ho2 0.249 0.249 0.000
Ho3 0.390 0.890 0.500
Ho4 0.610 0.110 0.500
Ho5 0.751 0.751 0.000
Ho6 0.890 0.390 0.500
Ag1 0.500 0.500 0.000
Hg1 0.000 0.000 0.000

two:
Crystalline Ho6AgHg at its relaxed geometry, computed with PBE-GGA.

* SG: C2/m

a b c (Å): 6.877 6.877 6.797
angles (deg): 103.52 103.52 120.77
Fractional coordinates of all 8 atoms:
Ho1 0.041 0.450 0.748
Ho2 0.244 0.244 0.256
Ho3 0.450 0.041 0.748
Ho4 0.550 0.959 0.252
Ho5 0.756 0.756 0.744
Ho6 0.959 0.550 0.252
Ag1 0.000 0.000 0.500
Hg1 0.500 0.500 0.000

Energy comparison, zero being the most stable, in eV/atom: one 0.000; two 0.268.